# Ho2Ti12Cu9O36

Ho2Ti12Cu9O36 after structural relaxation (GGA-PBEsol, the Alexandria database).

Cell lengths 6.3755, 10.3829, 10.3829 Å; angles 120.00, 90.00, 90.00 degrees
With the nearest neighbours (Å) after each atom.
Atoms (fractional coordinates):
O: 0.3309 0.1498 0.9847  2 Ti 1.88-1.96, 1 Cu 1.93
O: 0.3309 0.0153 0.1651  2 Ti 1.88-1.96, 1 Cu 1.93
O: 0.3556 0.8227 0.4729  1 Cu 1.93, 2 Ti 1.95-1.98
O: 0.7508 0.9240 0.5491  1 Cu 1.95, 2 Ti 1.96-2.01
O: 0.9820 0.8078 0.3175  2 Ti 1.92-2.05, 1 Cu 1.95
O: 0.9820 0.5097 0.1922  2 Ti 1.92-2.05, 1 Cu 1.95
O: 0.6444 0.3498 0.8227  1 Cu 1.93, 2 Ti 1.95-1.98
O: 0.6444 0.4729 0.6502  1 Cu 1.93, 2 Ti 1.95-1.98
O: 0.0916 0.9545 0.7293  2 Ti 1.91-1.92, 1 Cu 1.93
O: 0.5878 0.8800 0.2926  1 Cu 1.94, 2 Ti 1.95-2.02
O: 0.9820 0.6825 0.4903  2 Ti 1.92-2.05, 1 Cu 1.95
O: 0.9084 0.2251 0.9545  2 Ti 1.91-1.92, 1 Cu 1.93
O: 0.7508 0.6251 0.0760  1 Cu 1.95, 2 Ti 1.96-2.01
O: 0.6444 0.1773 0.5271  1 Cu 1.93, 2 Ti 1.95-1.98
O: 0.2492 0.5491 0.6251  1 Cu 1.95, 2 Ti 1.96-2.01
O: 0.0180 0.1922 0.6825  2 Ti 1.92-2.05, 1 Cu 1.95
O: 0.6691 0.1651 0.1498  2 Ti 1.88-1.96, 1 Cu 1.93
O: 0.0180 0.4903 0.8078  2 Ti 1.92-2.05, 1 Cu 1.95
O: 0.0916 0.7749 0.0455  2 Ti 1.91-1.92, 1 Cu 1.93
O: 0.3309 0.8349 0.8502  2 Ti 1.88-1.96, 1 Cu 1.93
O: 0.6691 0.9847 0.8349  2 Ti 1.88-1.96, 1 Cu 1.93
O: 0.0180 0.3175 0.5097  2 Ti 1.92-2.05, 1 Cu 1.95
O: 0.7508 0.4509 0.3749  1 Cu 1.95, 2 Ti 1.96-2.01
O: 0.4122 0.2926 0.4126  1 Cu 1.94, 2 Ti 1.95-2.02
O: 0.3556 0.5271 0.3498  1 Cu 1.93, 2 Ti 1.95-1.98
O: 0.5878 0.7074 0.5874  1 Cu 1.94, 2 Ti 1.95-2.02
O: 0.2492 0.3749 0.9240  1 Cu 1.95, 2 Ti 1.96-2.01
O: 0.4122 0.1200 0.7074  1 Cu 1.94, 2 Ti 1.95-2.02
O: 0.2492 0.0760 0.4509  1 Cu 1.95, 2 Ti 1.96-2.01
O: 0.0916 0.2707 0.2251  2 Ti 1.91-1.92, 1 Cu 1.93
O: 0.4122 0.5874 0.8800  1 Cu 1.94, 2 Ti 1.95-2.02
O: 0.9084 0.7293 0.7749  2 Ti 1.91-1.92, 1 Cu 1.93
O: 0.3556 0.6502 0.1773  1 Cu 1.93, 2 Ti 1.95-1.98
O: 0.6691 0.8502 0.0153  2 Ti 1.88-1.96, 1 Cu 1.93
O: 0.9084 0.0455 0.2707  2 Ti 1.91-1.92, 1 Cu 1.93
O: 0.5878 0.4126 0.1200  1 Cu 1.94, 2 Ti 1.95-2.02
Ti: 0.5000 0.0000 0.5000  6 O 1.95-1.96
Ti: 0.1622 0.6805 0.8385  6 O 1.88-2.05
Ti: 0.5000 0.0000 0.0000  6 O 1.96
Ti: 0.1622 0.1580 0.3195  6 O 1.88-2.05
Ti: 0.8378 0.3195 0.1615  6 O 1.88-2.05
Ti: 0.1597 0.6667 0.3333  6 O 1.92-1.98
Ti: 0.8378 0.8420 0.6805  6 O 1.88-2.05
Ti: 0.8403 0.3333 0.6667  6 O 1.92-1.98
Ti: 0.8378 0.8385 0.1580  6 O 1.88-2.05
Ti: 0.5000 0.5000 0.5000  6 O 1.95-1.96
Ti: 0.1622 0.1615 0.8420  6 O 1.88-2.05
Ti: 0.5000 0.5000 0.0000  6 O 1.95-1.96
Cu: 0.0000 0.5000 0.0000  4 O 1.95
Cu: 0.3402 0.3374 0.1689  4 O 1.93-1.94
Cu: 0.6598 0.6626 0.8311  4 O 1.93-1.94
Cu: 0.3402 0.8311 0.1686  4 O 1.93-1.94
Cu: 0.6598 0.1689 0.8314  4 O 1.93-1.94
Cu: 0.0000 0.5000 0.5000  4 O 1.95
Cu: 0.0000 0.0000 0.5000  4 O 1.95
Cu: 0.3402 0.8314 0.6626  4 O 1.93-1.94
Cu: 0.6598 0.1686 0.3374  4 O 1.93-1.94
Ho: 0.3292 0.3333 0.6667  12 O 2.51-2.54
Ho: 0.6708 0.6667 0.3333  12 O 2.51-2.54

Summary:
space-group type	P-3 (147)
total energy	-8.05	eV/atom

# Ho2CuW4O16

Ho2CuW4O16 after structural relaxation (GGA-PBEsol, the Alexandria database).

Cell lengths 5.5852, 10.0429, 10.9655 Å; angles 110.38, 90.00, 106.14 degrees
With the nearest neighbours (Å) after each atom.
Atoms (fractional coordinates):
O: 0.0695 0.4925 0.7399  1 W 1.79
O: 0.4734 0.7625 0.9226  1 W 1.76
O: 0.0453 0.2602 0.1013  2 W 1.95-2.10
O: 0.5770 0.5075 0.7601  1 W 1.79
O: 0.2187 0.7394 0.6744  1 W 1.80
O: 0.9305 0.5075 0.2601  1 W 1.79
O: 0.3686 0.9713 0.1216  1 W 1.83, 1 Cu 2.01
O: 0.5266 0.2375 0.0774  1 W 1.76
O: 0.1300 0.0198 0.9082  1 W 1.92, 1 Cu 2.10
O: 0.2891 0.7625 0.4226  1 W 1.76
O: 0.7859 0.5342 0.0499  1 W 1.87
O: 0.3973 0.0287 0.3784  1 W 1.83, 1 Cu 2.01
O: 0.9547 0.7398 0.8987  2 W 1.95-2.10
O: 0.5207 0.7394 0.1744  1 W 1.80
O: 0.8700 0.9802 0.0918  1 W 1.92, 1 Cu 2.10
O: 0.7813 0.2606 0.3256  1 W 1.80
O: 0.7654 0.7866 0.7260  2 W 1.92-2.08
O: 0.7109 0.2375 0.5774  1 W 1.76
O: 0.4793 0.2606 0.8256  1 W 1.80
O: 0.6027 0.9713 0.6216  1 W 1.83, 1 Cu 2.01
O: 0.7851 0.7398 0.3987  2 W 1.95-2.10
O: 0.0212 0.7866 0.2260  2 W 1.92-2.08
O: 0.2346 0.2134 0.2740  2 W 1.92-2.08
O: 0.2141 0.4658 0.9501  1 W 1.87
O: 0.1102 0.9802 0.5918  1 W 1.92, 1 Cu 2.10
O: 0.2517 0.4658 0.4501  1 W 1.87
O: 0.6314 0.0287 0.8784  1 W 1.83, 1 Cu 2.01
O: 0.2149 0.2602 0.6013  2 W 1.95-2.10
O: 0.4230 0.4925 0.2399  1 W 1.79
O: 0.8898 0.0198 0.4082  1 W 1.92, 1 Cu 2.10
O: 0.7483 0.5342 0.5499  1 W 1.87
O: 0.9788 0.2134 0.7740  2 W 1.92-2.08
W: 0.8615 0.1106 0.5911  4 O 1.76-1.92
W: 0.0593 0.3743 0.2871  4 O 1.79-1.95
W: 0.9407 0.6257 0.7129  4 O 1.79-1.95
W: 0.2491 0.1106 0.0911  4 O 1.76-1.92
W: 0.1385 0.8894 0.4089  4 O 1.76-1.92
W: 0.3151 0.3743 0.7871  4 O 1.79-1.95
W: 0.6849 0.6257 0.2129  4 O 1.79-1.95
W: 0.7509 0.8894 0.9089  4 O 1.76-1.92
Ho: 0.8254 0.3030 0.9589  6 O 2.19-2.35
Ho: 0.5224 0.6970 0.5411  6 O 2.19-2.35
Ho: 0.4776 0.3030 0.4589  6 O 2.19-2.35
Ho: 0.1746 0.6970 0.0411  6 O 2.19-2.35
Cu: 0.6522 0.0000 0.2500  4 O 2.01-2.10
Cu: 0.3478 0.0000 0.7500  4 O 2.01-2.10

Summary:
space-group type	C2/c (15)
total energy	-9.03	eV/atom

# HoCuP2

HoCuP2 after structural relaxation (GGA-PBEsol, the Alexandria database).

Cell lengths 3.6660, 3.6660, 9.5384 Å; angles 90.00, 90.00, 90.00 degrees
With the nearest neighbours (Å) after each atom.
Atoms (fractional coordinates):
P: 0.0000 0.0000 0.0000  4 P 2.59, 4 Ho 2.88
P: 0.0000 0.5000 0.3432  4 Cu 2.37
P: 0.5000 0.0000 0.6568  4 Cu 2.37
P: 0.5000 0.5000 0.0000  4 P 2.59, 4 Ho 2.88
Ho: 0.5000 0.0000 0.2325  8 P 2.80-2.88
Ho: 0.0000 0.5000 0.7675  8 P 2.80-2.88
Cu: 0.5000 0.5000 0.5000  4 P 2.37, 4 Cu 2.59
Cu: 0.0000 0.0000 0.5000  4 P 2.37, 4 Cu 2.59

Summary:
space-group type	P4/nmm (129)
total energy	-6.16	eV/atom
energy of formation	-0.942	eV/atom